DFT (GGA-PBE) results for crystalline SrZn2Pd at its relaxed geometry.

The calculation puts the energy of formation from the pure elements at -0.46 eV per atom. For the total energy, the calculation gives -2.8128 eV/atom. The crystal system is monoclinic. As for the density of states at the Fermi level: 2.16 states/eV/f.u.

It has space group Cm (No. 8), with a = 7.687 Å, b = 4.451 Å, c = 5.990 Å, α = 90.00°, β = 115.52° and γ = 90.00°. Symmetry generates all atoms from Sr at (0.000, 0.000, 0.000), Zn at (0.015, 0.500, 0.546), Zn at (0.307, 0.500, 0.421) and Pd at (0.193, 0.000, 0.580).